Compound: NbCuAs2Se
Source: the Alexandria database
Functional: GGA-PBE
Structure: optimized geometry

* energy above the most stable polymorph in this dataset: 0.000 eV/atom
* V: 125.2 Å³ per cell
* magnetization: 0.000 μB/atom
* Fermi-level density of states: 0.92 states/eV per atom
* space-group type: P4/mmm
* uncorrected formation energy: 499 meV/atom

abc: 5.024 5.024 4.961
angles: 90.00 90.00 90.00
Atoms (fractional coordinates):
Nb1 0.000 0.000 0.000
Cu1 0.500 0.500 0.500
As1 0.000 0.500 0.000
As2 0.500 0.000 0.000
Se1 0.000 0.000 0.500